Record 1
Nd5Y2Er2: relaxed, PBE.

Geometry as CIF:
```
data_Nd5Y2Er2
_chemical_formula_sum 'Nd10 Y4 Er4'
_symmetry_space_group_name_H-M 'P 1'
_symmetry_Int_Tables_number 1
_cell_length_a 11.932
_cell_length_b 6.796
_cell_length_c 10.179
_cell_angle_alpha 109.50
_cell_angle_beta 125.88
_cell_angle_gamma 90.00
loop_
_symmetry_equiv_pos_as_xyz
'x,y,z'
loop_
_atom_site_label
_atom_site_fract_x
_atom_site_fract_y
_atom_site_fract_z
Nd1 0.181 0.667 0.901
Nd2 0.819 0.766 0.099
Nd3 0.219 0.167 0.901
Nd4 0.781 0.266 0.099
Nd5 0.370 0.029 0.289
Nd6 0.630 0.741 0.711
Nd7 0.419 0.529 0.289
Nd8 0.581 0.241 0.711
Nd9 0.015 0.652 0.500
Nd10 0.985 0.152 0.500
Y1 0.139 0.669 0.258
Y2 0.861 0.412 0.742
Y3 0.618 0.169 0.258
Y4 0.382 0.912 0.742
Er1 0.000 0.062 0.000
Er2 0.500 0.562 0.000
Er3 0.249 0.338 0.500
Er4 0.751 0.838 0.500
```

Computed properties:
Energy of formation in eV per formula unit: 1.960

***

Record 2
Fe4Ir10Rh: relaxed, PBE.

Geometry as CIF:
```
data_Fe4Ir10Rh
_chemical_formula_sum 'Fe4 Ir10 Rh1'
_symmetry_space_group_name_H-M 'P 1'
_symmetry_Int_Tables_number 1
_cell_length_a 6.496
_cell_length_b 6.838
_cell_length_c 6.838
_cell_angle_alpha 76.96
_cell_angle_beta 61.64
_cell_angle_gamma 61.64
loop_
_symmetry_equiv_pos_as_xyz
'x,y,z'
loop_
_atom_site_label
_atom_site_fract_x
_atom_site_fract_y
_atom_site_fract_z
Fe1 0.367 0.808 0.458
Fe2 0.825 0.542 0.808
Fe3 0.175 0.458 0.192
Fe4 0.633 0.192 0.542
Ir1 0.250 0.500 0.500
Ir2 0.621 0.290 0.888
Ir3 0.089 0.112 0.290
Ir4 0.491 0.888 0.710
Ir5 0.799 0.710 0.112
Ir6 0.379 0.710 0.112
Ir7 0.750 0.500 0.500
Ir8 0.201 0.290 0.888
Ir9 0.509 0.112 0.290
Ir10 0.911 0.888 0.710
Rh1 0.000 0.000 0.000
```

Computed properties:
Energy of formation in eV per formula unit: 5.942

***

Record 3
OsWCl2: relaxed, PBE.

Geometry as CIF:
```
data_OsWCl2
_chemical_formula_sum 'Os1 W1 Cl2'
_symmetry_space_group_name_H-M 'P 1'
_symmetry_Int_Tables_number 1
_cell_length_a 6.148
_cell_length_b 6.148
_cell_length_c 6.148
_cell_angle_alpha 150.15
_cell_angle_beta 109.51
_cell_angle_gamma 78.39
loop_
_symmetry_equiv_pos_as_xyz
'x,y,z'
loop_
_atom_site_label
_atom_site_fract_x
_atom_site_fract_y
_atom_site_fract_z
Os1 0.538 0.538 0.000
W1 0.717 0.217 0.500
Cl1 0.930 0.930 0.000
Cl2 0.315 0.815 0.500
```

Computed properties:
Formation energy (no corrections) in eV per atom: 0.672

***

Record 4
Sr2Ni2Ir: relaxed, PBE.

Geometry as CIF:
```
data_Sr2Ni2Ir
_chemical_formula_sum 'Sr2 Ni2 Ir1'
_symmetry_space_group_name_H-M 'P 1'
_symmetry_Int_Tables_number 1
_cell_length_a 4.356
_cell_length_b 5.180
_cell_length_c 5.808
_cell_angle_alpha 116.48
_cell_angle_beta 112.02
_cell_angle_gamma 90.00
loop_
_symmetry_equiv_pos_as_xyz
'x,y,z'
loop_
_atom_site_label
_atom_site_fract_x
_atom_site_fract_y
_atom_site_fract_z
Sr1 0.806 0.306 0.612
Sr2 0.194 0.694 0.388
Ni1 0.500 0.763 0.000
Ni2 0.500 0.237 0.000
Ir1 0.000 0.000 0.000
```

Computed properties:
Energy of formation in eV per formula unit: -0.702

***

Record 5
Cd3CuMo: relaxed, PBE.

Geometry as CIF:
```
data_Cd3CuMo
_chemical_formula_sum 'Cd3 Cu1 Mo1'
_symmetry_space_group_name_H-M 'P 1'
_symmetry_Int_Tables_number 1
_cell_length_a 4.863
_cell_length_b 4.863
_cell_length_c 4.863
_cell_angle_alpha 90.00
_cell_angle_beta 90.00
_cell_angle_gamma 90.00
loop_
_symmetry_equiv_pos_as_xyz
'x,y,z'
loop_
_atom_site_label
_atom_site_fract_x
_atom_site_fract_y
_atom_site_fract_z
Mo1 0.500 0.500 0.500
Cu1 0.000 0.000 0.000
Cd1 0.000 0.500 0.000
Cd2 0.000 0.000 0.500
Cd3 0.500 0.000 0.000
```

Computed properties:
Energy of formation in eV per formula unit: 4.653

***

Record 6
KCaHf2Ti: relaxed, PBE.

Geometry as CIF:
```
data_KCaHf2Ti
_chemical_formula_sum 'K1 Ca1 Hf2 Ti1'
_symmetry_space_group_name_H-M 'P 1'
_symmetry_Int_Tables_number 1
_cell_length_a 5.435
_cell_length_b 5.173
_cell_length_c 5.435
_cell_angle_alpha 90.00
_cell_angle_beta 90.00
_cell_angle_gamma 90.00
loop_
_symmetry_equiv_pos_as_xyz
'x,y,z'
loop_
_atom_site_label
_atom_site_fract_x
_atom_site_fract_y
_atom_site_fract_z
Ca1 0.000 0.000 0.000
Hf1 0.000 0.000 0.500
Hf2 0.500 0.000 0.000
K1 0.500 0.500 0.500
Ti1 0.000 0.500 0.000
```

Computed properties:
Energy of formation in eV per formula unit: 9.147

***

Q: Which formula does entry 2 have?
A: Fe4Ir10Rh